(i)
The following is a PBEsol calculation of crystalline Ba2TeSe at its relaxed geometry, from the Alexandria database.

extended XYZ file:
```
4
Lattice="4.798 0.000 0.000 0.000 4.798 0.000 0.000 0.000 6.788" Properties=species:S:1:pos:R:3 pbc="T T T"
Ba 0.000 0.000 0.000
Ba 2.399 2.399 3.394
Te 0.000 0.000 3.394
Se 2.399 2.399 0.000
```

(ii)
The following is a PBEsol calculation of crystalline Ba2TeSe at its relaxed geometry, from the Alexandria database.

extended XYZ file:
```
12
Lattice="4.779 0.000 0.000 -2.389 4.138 0.000 0.000 0.000 23.522" Properties=species:S:1:pos:R:3 pbc="T T T"
Ba 0.000 0.000 5.765
Ba 0.000 0.000 17.757
Ba 0.000 2.759 9.916
Ba 0.000 2.759 21.446
Ba 2.389 1.379 2.076
Ba 2.389 1.379 13.606
Te 0.000 0.000 0.000
Te 0.000 2.759 15.681
Te 2.389 1.379 7.841
Se 0.000 0.000 11.761
Se 0.000 2.759 3.920
Se 2.389 1.379 19.601
```

Best to worst by energy: (ii), (i).

(i)
The following is a PBEsol calculation of crystalline BaZrSe at its relaxed geometry, from the Alexandria database.

extended XYZ file:
```
3
Lattice="4.597 0.000 0.000 -2.299 3.981 0.000 0.000 0.000 4.977" Properties=species:S:1:pos:R:3 pbc="T T T"
Ba 0.000 0.000 0.000
Zr 0.000 2.654 2.488
Se 2.299 1.327 2.488
```

(ii)
The following is a PBEsol calculation of crystalline BaZrSe at its relaxed geometry, from the Alexandria database.

extended XYZ file:
```
12
Lattice="7.484 0.000 0.000 0.000 7.484 0.000 0.000 0.000 7.484" Properties=species:S:1:pos:R:3 pbc="T T T"
Ba 0.000 0.000 0.000
Ba 0.000 3.742 3.742
Ba 3.742 0.000 3.742
Ba 3.742 3.742 0.000
Zr 1.871 1.871 1.871
Zr 1.871 5.613 5.613
Zr 5.613 1.871 5.613
Zr 5.613 5.613 1.871
Se 1.871 1.871 5.613
Se 1.871 5.613 1.871
Se 5.613 1.871 1.871
Se 5.613 5.613 5.613
```

Best to worst by energy: (i), (ii).

(i)
The following is a PBEsol calculation of crystalline Ba2SrSi2 at its relaxed geometry, from the Alexandria database.

extended XYZ file:
```
10
Lattice="8.129 0.000 0.000 0.000 8.129 0.000 0.000 0.000 5.072" Properties=species:S:1:pos:R:3 pbc="T T T"
Ba 1.394 2.670 0.000
Ba 2.670 6.735 0.000
Ba 5.459 1.394 0.000
Ba 6.735 5.459 0.000
Sr 0.000 0.000 2.536
Sr 4.065 4.065 2.536
Si 0.839 4.903 2.536
Si 3.226 0.839 2.536
Si 4.903 7.291 2.536
Si 7.291 3.226 2.536
```

(ii)
The following is a PBEsol calculation of crystalline Ba2SrSi2 at its relaxed geometry, from the Alexandria database.

extended XYZ file:
```
10
Lattice="4.910 0.000 0.000 0.000 4.910 0.000 0.000 0.000 13.766" Properties=species:S:1:pos:R:3 pbc="T T T"
Ba 0.000 2.455 3.442
Ba 0.000 2.455 10.325
Ba 2.455 0.000 3.442
Ba 2.455 0.000 10.325
Sr 0.000 0.000 0.000
Sr 2.455 2.455 6.883
Si 0.000 0.000 5.732
Si 0.000 0.000 8.034
Si 2.455 2.455 1.151
Si 2.455 2.455 12.615
```

Best to worst by energy: (i), (ii).

(i)
The following is a PBEsol calculation of crystalline Ba2SiTe at its relaxed geometry, from the Alexandria database.

extended XYZ file:
```
8
Lattice="12.038 0.000 0.000 0.000 4.643 0.000 -0.753 0.000 5.066" Properties=species:S:1:pos:R:3 pbc="T T T"
Ba 0.000 0.000 0.000
Ba 2.514 2.321 2.793
Ba 6.019 2.321 0.000
Ba 8.533 0.000 2.793
Si 5.272 0.000 2.355
Si 11.290 2.321 2.355
Te 3.376 0.000 0.439
Te 9.395 2.321 0.439
```

(ii)
The following is a PBEsol calculation of crystalline Ba2SiTe at its relaxed geometry, from the Alexandria database.

extended XYZ file:
```
8
Lattice="4.779 0.000 0.000 0.000 4.779 0.000 0.000 0.000 11.731" Properties=species:S:1:pos:R:3 pbc="T T T"
Ba 0.000 0.000 0.000
Ba 0.000 2.389 2.933
Ba 2.389 0.000 8.798
Ba 2.389 2.389 5.866
Si 0.000 0.000 5.866
Si 2.389 2.389 0.000
Te 0.000 2.389 8.798
Te 2.389 0.000 2.933
```

(iii)
The following is a PBEsol calculation of crystalline Ba2SiTe at its relaxed geometry, from the Alexandria database.

extended XYZ file:
```
16
Lattice="7.951 0.000 0.000 0.000 7.951 0.000 0.000 0.000 7.951" Properties=species:S:1:pos:R:3 pbc="T T T"
Ba 0.000 0.000 0.000
Ba 0.000 3.976 3.976
Ba 1.988 1.988 1.988
Ba 1.988 5.963 5.963
Ba 3.976 0.000 3.976
Ba 3.976 3.976 0.000
Ba 5.963 1.988 5.963
Ba 5.963 5.963 1.988
Si 0.000 0.000 3.976
Si 0.000 3.976 0.000
Si 3.976 0.000 0.000
Si 3.976 3.976 3.976
Te 1.988 1.988 5.963
Te 1.988 5.963 1.988
Te 5.963 1.988 1.988
Te 5.963 5.963 5.963
```

(iv)
The following is a PBEsol calculation of crystalline Ba2SiTe at its relaxed geometry, from the Alexandria database.

extended XYZ file:
```
16
Lattice="8.183 0.000 0.000 0.000 8.183 0.000 0.000 0.000 8.183" Properties=species:S:1:pos:R:3 pbc="T T T"
Ba 2.046 2.046 2.046
Ba 2.046 2.046 6.137
Ba 2.046 6.137 2.046
Ba 2.046 6.137 6.137
Ba 6.137 2.046 2.046
Ba 6.137 2.046 6.137
Ba 6.137 6.137 2.046
Ba 6.137 6.137 6.137
Si 0.000 0.000 0.000
Si 0.000 4.091 4.091
Si 4.091 0.000 4.091
Si 4.091 4.091 0.000
Te 0.000 0.000 4.091
Te 0.000 4.091 0.000
Te 4.091 0.000 0.000
Te 4.091 4.091 4.091
```

Best to worst by energy: (i), (iv), (ii), (iii).

(i)
The following is a PBEsol calculation of crystalline BaTlSi2 at its relaxed geometry, from the Alexandria database.

extended XYZ file:
```
8
Lattice="4.697 0.000 0.000 0.000 4.697 0.000 0.000 0.000 9.312" Properties=species:S:1:pos:R:3 pbc="T T T"
Ba 0.000 0.000 0.000
Ba 2.349 2.349 4.656
Tl 0.000 0.000 4.656
Tl 2.349 2.349 0.000
Si 0.000 2.349 2.328
Si 0.000 2.349 6.984
Si 2.349 0.000 2.328
Si 2.349 0.000 6.984
```

(ii)
The following is a PBEsol calculation of crystalline BaTlSi2 at its relaxed geometry, from the Alexandria database.

extended XYZ file:
```
8
Lattice="3.877 0.000 0.000 0.000 4.716 0.000 0.000 0.000 11.824" Properties=species:S:1:pos:R:3 pbc="T T T"
Ba 0.000 0.000 0.000
Ba 1.939 2.358 5.912
Tl 0.000 2.358 2.534
Tl 1.939 0.000 8.446
Si 0.000 0.000 4.432
Si 0.000 2.358 8.895
Si 1.939 0.000 2.983
Si 1.939 2.358 10.345
```

Best to worst by energy: (ii), (i).

(i)
The following is a PBEsol calculation of crystalline BaTlSi2 at its relaxed geometry, from the Alexandria database.

extended XYZ file:
```
4
Lattice="3.573 0.000 0.000 0.000 3.573 0.000 0.000 0.000 7.525" Properties=species:S:1:pos:R:3 pbc="T T T"
Ba 0.000 0.000 0.000
Tl 1.787 1.787 2.543
Si 0.000 0.000 4.403
Si 1.787 1.787 5.250
```

(ii)
The following is a PBEsol calculation of crystalline BaTlSi2 at its relaxed geometry, from the Alexandria database.

extended XYZ file:
```
4
Lattice="3.886 0.000 0.000 0.000 3.886 0.000 0.000 0.000 6.834" Properties=species:S:1:pos:R:3 pbc="T T T"
Ba 0.000 0.000 0.000
Tl 0.000 0.000 3.417
Si 1.943 1.943 2.238
Si 1.943 1.943 4.596
```

Best to worst by energy: (i), (ii).

(i)
The following is a PBEsol calculation of crystalline BaYSi2 at its relaxed geometry, from the Alexandria database.

extended XYZ file:
```
8
Lattice="9.633 0.000 0.000 0.000 3.956 0.000 -2.533 0.000 5.934" Properties=species:S:1:pos:R:3 pbc="T T T"
Ba 0.000 0.000 0.000
Ba 4.817 1.978 0.000
Y -1.267 1.978 2.967
Y 3.550 0.000 2.967
Si 0.759 0.000 3.610
Si 1.524 1.978 2.324
Si 5.576 1.978 3.610
Si 6.340 0.000 2.324
```

(ii)
The following is a PBEsol calculation of crystalline BaYSi2 at its relaxed geometry, from the Alexandria database.

extended XYZ file:
```
8
Lattice="4.936 0.000 0.000 0.000 4.936 0.000 0.000 0.000 8.142" Properties=species:S:1:pos:R:3 pbc="T T T"
Ba 0.000 0.000 0.000
Ba 2.468 2.468 4.071
Y 0.000 0.000 4.071
Y 2.468 2.468 0.000
Si 0.000 2.468 2.036
Si 0.000 2.468 6.107
Si 2.468 0.000 2.036
Si 2.468 0.000 6.107
```

Best to worst by energy: (i), (ii).

(i)
The following is a PBEsol calculation of crystalline BaYSi2 at its relaxed geometry, from the Alexandria database.

extended XYZ file:
```
4
Lattice="3.839 0.000 0.000 0.000 3.839 0.000 0.000 0.000 6.901" Properties=species:S:1:pos:R:3 pbc="T T T"
Ba 0.000 0.000 0.000
Y 0.000 0.000 3.451
Si 1.919 1.919 2.254
Si 1.919 1.919 4.647
```

(ii)
The following is a PBEsol calculation of crystalline BaYSi2 at its relaxed geometry, from the Alexandria database.

extended XYZ file:
```
8
Lattice="3.813 0.000 0.000 0.000 4.503 0.000 0.000 0.000 12.262" Properties=species:S:1:pos:R:3 pbc="T T T"
Ba 0.000 0.000 0.000
Ba 1.907 2.251 6.131
Y 0.000 2.251 2.888
Y 1.907 0.000 9.019
Si 0.000 0.000 4.740
Si 0.000 2.251 9.328
Si 1.907 0.000 3.197
Si 1.907 2.251 10.871
```

Best to worst by energy: (i), (ii).

(i)
The following is a PBEsol calculation of crystalline Ba2ZnSi at its relaxed geometry, from the Alexandria database.

extended XYZ file:
```
8
Lattice="4.390 0.000 0.000 0.000 4.876 0.000 0.000 0.000 11.944" Properties=species:S:1:pos:R:3 pbc="T T T"
Ba 0.000 0.000 0.000
Ba 0.000 2.438 5.972
Ba 2.195 0.000 3.437
Ba 2.195 2.438 9.409
Zn 2.195 0.000 7.132
Zn 2.195 2.438 1.159
Si 0.000 0.000 8.379
Si 0.000 2.438 2.407
```

(ii)
The following is a PBEsol calculation of crystalline Ba2ZnSi at its relaxed geometry, from the Alexandria database.

extended XYZ file:
```
16
Lattice="7.943 0.000 0.000 0.000 7.943 0.000 0.000 0.000 7.943" Properties=species:S:1:pos:R:3 pbc="T T T"
Ba 1.986 1.986 1.986
Ba 1.986 1.986 5.957
Ba 1.986 5.957 1.986
Ba 1.986 5.957 5.957
Ba 5.957 1.986 1.986
Ba 5.957 1.986 5.957
Ba 5.957 5.957 1.986
Ba 5.957 5.957 5.957
Zn 0.000 0.000 0.000
Zn 0.000 3.971 3.971
Zn 3.971 0.000 3.971
Zn 3.971 3.971 0.000
Si 0.000 0.000 3.971
Si 0.000 3.971 0.000
Si 3.971 0.000 0.000
Si 3.971 3.971 3.971
```

Best to worst by energy: (i), (ii).

(i)
The following is a PBEsol calculation of crystalline Ba5Sr3 at its relaxed geometry, from the Alexandria database.

extended XYZ file:
```
16
Lattice="11.749 0.000 0.000 -5.875 10.175 0.000 0.000 0.000 7.733" Properties=species:S:1:pos:R:3 pbc="T T T"
Ba -1.386 2.401 1.933
Ba -4.488 7.774 5.799
Ba 2.773 0.000 1.933
Ba 1.386 2.401 5.799
Ba 0.000 6.783 0.000
Ba 0.000 6.783 3.866
Ba 5.875 3.392 0.000
Ba 5.875 3.392 3.866
Ba 8.976 0.000 5.799
Ba 4.488 7.774 1.933
Sr -2.417 4.187 5.799
Sr -3.457 5.988 1.933
Sr 4.835 0.000 5.799
Sr 2.417 4.187 1.933
Sr 6.914 0.000 1.933
Sr 3.457 5.988 5.799
```

(ii)
The following is a PBEsol calculation of crystalline Ba5Sr3 at its relaxed geometry, from the Alexandria database.

extended XYZ file:
```
16
Lattice="-7.740 7.740 3.807 7.740 -7.740 3.807 7.740 7.740 -3.807" Properties=species:S:1:pos:R:3 pbc="T T T"
Ba 11.929 1.123 0.000
Ba 1.123 3.552 0.000
Ba 7.740 0.000 1.903
Ba 8.864 4.188 0.000
Ba 4.188 6.617 0.000
Ba 3.552 1.123 3.807
Ba -1.123 3.552 3.807
Ba 0.000 7.740 1.903
Ba 6.617 4.188 3.807
Ba -4.188 6.617 3.807
Sr 4.998 2.743 0.000
Sr 0.000 0.000 1.903
Sr 4.998 -2.743 3.807
Sr 2.743 10.483 0.000
Sr 0.000 0.000 5.710
Sr 2.743 4.998 3.807
```

Best to worst by energy: (ii), (i).

(i)
The following is a PBEsol calculation of crystalline BaSr3 at its relaxed geometry, from the Alexandria database.

extended XYZ file:
```
16
Lattice="9.395 0.000 0.000 0.000 13.365 0.000 0.000 0.000 6.691" Properties=species:S:1:pos:R:3 pbc="T T T"
Ba 0.000 1.689 1.673
Ba 0.000 11.675 5.018
Ba 4.697 4.993 5.018
Ba 4.697 8.372 1.673
Sr 0.000 5.016 5.018
Sr 0.000 8.348 1.673
Sr 2.353 1.668 5.018
Sr 2.345 5.014 1.673
Sr 2.345 8.351 5.018
Sr 2.353 11.696 1.673
Sr 4.697 1.666 1.673
Sr 4.697 11.699 5.018
Sr 7.042 1.668 5.018
Sr 7.050 5.014 1.673
Sr 7.050 8.351 5.018
Sr 7.042 11.696 1.673
```

(ii)
The following is a PBEsol calculation of crystalline BaSr3 at its relaxed geometry, from the Alexandria database.

extended XYZ file:
```
4
Lattice="5.998 0.000 0.000 0.000 5.998 0.000 0.000 0.000 5.998" Properties=species:S:1:pos:R:3 pbc="T T T"
Ba 0.000 0.000 0.000
Sr 0.000 2.999 2.999
Sr 2.999 0.000 2.999
Sr 2.999 2.999 0.000
```

Best to worst by energy: (i), (ii).

(i)
The following is a PBEsol calculation of crystalline Ba3Sr at its relaxed geometry, from the Alexandria database.

extended XYZ file:
```
12
Lattice="4.310 0.000 0.000 -2.155 3.733 0.000 0.000 0.000 42.485" Properties=species:S:1:pos:R:3 pbc="T T T"
Ba 0.000 0.000 0.000
Ba 0.000 0.000 10.574
Ba 0.000 0.000 31.911
Ba 0.000 2.489 17.749
Ba 0.000 2.489 28.323
Ba 0.000 2.489 38.897
Ba 2.155 1.244 3.588
Ba 2.155 1.244 14.162
Ba 2.155 1.244 24.736
Sr 0.000 0.000 21.242
Sr 0.000 2.489 7.081
Sr 2.155 1.244 35.404
```

(ii)
The following is a PBEsol calculation of crystalline Ba3Sr at its relaxed geometry, from the Alexandria database.

extended XYZ file:
```
4
Lattice="4.844 0.000 0.000 0.000 4.844 0.000 0.000 0.000 9.626" Properties=species:S:1:pos:R:3 pbc="T T T"
Ba 0.000 0.000 0.000
Ba 2.422 2.422 2.450
Ba 2.422 2.422 7.176
Sr 0.000 0.000 4.813
```

(iii)
The following is a PBEsol calculation of crystalline Ba3Sr at its relaxed geometry, from the Alexandria database.

extended XYZ file:
```
4
Lattice="6.129 0.000 0.000 0.000 6.129 0.000 0.000 0.000 6.129" Properties=species:S:1:pos:R:3 pbc="T T T"
Ba 0.000 0.000 3.064
Ba 0.000 3.064 0.000
Ba 3.064 0.000 0.000
Sr 3.064 3.064 3.064
```

Best to worst by energy: (ii), (i), (iii).